1.
LaY2PuP4: optimized geometry, PBE-GGA.

Computed properties:
total DFT energy (no corrections): -65.56 eV/cell
mass density: 5.9 g/cm3
formation energy from the elements: -1.47 eV per atom

Unit cell a=7.0463 b=4.0830 c=7.0603 alpha=90.00 beta=109.51 gamma=90.00
Last column: nearest neighbours and their distance in Å.
Space group P2/m (No. 10)
Asymmetric unit:
La  0.0000  0.0000  0.0000  6 P 2.93-2.94
Y  0.5000  0.0000  0.5000  6 P 2.83
Y  0.5000  0.5000  0.0000  6 P 2.90
Pu  0.0000  0.5000  0.5000  6 P 2.86
P  0.2509  0.0000  0.7416  3 Y 2.83-2.90, 2 Pu 2.86, 1 La 2.93
P  0.2575  0.5000  0.2608  3 Y 2.83-2.90, 1 Pu 2.86, 2 La 2.94



2.
AlGa2Cl8: optimized geometry, PBE-GGA.

Computed properties:
total DFT energy (no corrections): -72.51 eV/cell
E_form (uncorrected): -1.0621 eV per atom
mass density: 2.2 g/cm3

Unit cell a=15.2319 b=7.2978 c=6.1770 alpha=90.00 beta=93.02 gamma=90.00
Last column: nearest neighbours and their distance in Å.
Space group C2/m (No. 12)
Asymmetric unit:
Al  0.0000  0.0000  0.0000  6 Cl 2.32-2.40
Ga  0.1472  0.0000  0.4291  4 Cl 2.19-2.41
Cl  0.0617  0.2256  0.2259  1 Al 2.32, 1 Ga 2.41
Cl  0.1337  0.0000  0.8100  1 Ga 2.37, 1 Al 2.40
Cl  0.2124  0.5000  0.6323  1 Ga 2.19



3.
As2WCl: optimized geometry, PBE-GGA.

Computed properties:
energy above the most stable polymorph in this dataset: 1.81 kcal/mol of atoms
total DFT energy (no corrections): -71.62 eV/cell
E_form (uncorrected): 0.0567 eV per atom
mass density: 8.2 g/cm3

Unit cell a=3.2817 b=3.2817 c=24.0795 alpha=90.00 beta=90.00 gamma=120.00
Last column: nearest neighbours and their distance in Å.
Space group R-3m (No. 166, hexagonal axes)
Asymmetric unit:
As  0.0000  0.0000  0.2401  3 W 2.59
W  0.0000  0.0000  0.5000  6 As 2.59
Cl  0.0000  0.0000  0.0000  6 As 2.94, 6 Cl 3.28



4.
PmTmS3: optimized geometry, PBE-GGA.

Computed properties:
energy above the most stable polymorph in this dataset: 0.00 kcal/mol of atoms
total DFT energy (no corrections): -127.93 eV/cell
E_form (uncorrected): -2.0756 eV per atom
mass density: 6.2 g/cm3

Unit cell a=7.3482 b=3.9468 c=15.2494 alpha=90.00 beta=90.00 gamma=90.00
Last column: nearest neighbours and their distance in Å.
Space group Pnma (No. 62)
Asymmetric unit:
Pm  0.1430  0.2500  0.2009  8 S 2.80-3.12
Tm  0.2300  0.7500  0.4570  7 S 2.71-2.92
S  0.0118  0.2500  0.3955  3 Tm 2.71-2.87
S  0.1249  0.7500  0.0618  3 Tm 2.75-2.92, 2 Pm 2.90
S  0.1499  0.2500  0.7850  1 Tm 2.77, 4 Pm 2.80-2.93, 1 S 3.09



5.
RbSn2Bi2: optimized geometry, PBE-GGA.

Computed properties:
energy above the most stable polymorph in this dataset: 0.00 kcal/mol of atoms
total DFT energy (no corrections): -34.88 eV/cell
mass density: 6.2 g/cm3
formation energy from the elements: -0.14 eV per atom

Unit cell a=5.5000 b=5.5000 c=13.0594 alpha=90.00 beta=90.00 gamma=90.00
Last column: nearest neighbours and their distance in Å.
Space group I4/mmm (No. 139)
Asymmetric unit:
Rb  0.0000  0.0000  0.0000  8 Bi 4.25, 8 Sn 4.27
Sn  0.0000  0.5000  0.2500  4 Bi 3.15
Bi  0.0000  0.0000  0.3682  4 Sn 3.15, 1 Bi 3.44



6.
YBeAg2: optimized geometry, PBE-GGA.

Computed properties:
total DFT energy (no corrections): -58.86 eV/cell
mass density: 5.8 g/cm3
formation energy from the elements: 0.29 eV per atom

Unit cell a=4.6893 b=4.6893 c=16.3271 alpha=90.00 beta=90.00 gamma=90.00
Last column: nearest neighbours and their distance in Å.
Space group I-42d (No. 122)
Asymmetric unit:
Y  0.0000  0.0000  0.0000  4 Ag 2.93
Be  0.0000  0.0000  0.5000  4 Ag 2.43
Ag  0.1293  0.2500  0.6250  2 Be 2.43, 2 Ag 2.64



7.
CePmSnSb: optimized geometry, PBE-GGA.

Computed properties:
total DFT energy (no corrections): -86.02 eV/cell
E_form (uncorrected): -0.6736 eV per atom
mass density: 7.6 g/cm3

Unit cell a=7.7213 b=7.7213 c=7.7213 alpha=90.00 beta=90.00 gamma=90.00
Last column: nearest neighbours and their distance in Å.
Space group F-43m (No. 216)
Asymmetric unit:
Ce  0.0000  0.0000  0.0000  4 Sb 3.34, 4 Sn 3.34
Pm  0.0000  0.0000  0.5000  4 Sn 3.34, 4 Sb 3.34
Sn  0.2500  0.2500  0.7500  4 Ce 3.34, 4 Pm 3.34
Sb  0.2500  0.2500  0.2500  4 Ce 3.34, 4 Pm 3.34



8.
Sm5Pt2Au2: optimized geometry, PBE-GGA.

Computed properties:
total DFT energy (no corrections): -201.24 eV/cell
mass density: 10.9 g/cm3
formation energy from the elements: -0.90 eV per atom

Unit cell a=15.5400 b=7.5617 c=7.9520 alpha=90.00 beta=90.00 gamma=90.00
Last column: nearest neighbours and their distance in Å.
Space group Cmce (No. 64)
Asymmetric unit:
Sm  0.0000  0.0000  0.0000  4 Pt 2.99-3.09, 2 Au 3.21
Sm  0.1321  0.1685  0.3279  3 Pt 3.00-3.18, 3 Au 3.08-3.13
Pt  0.0000  0.1300  0.6312  1 Pt 2.87, 8 Sm 2.99-3.18
Au  0.2066  0.0000  0.0000  7 Sm 3.08-3.21